w.
VASP calculation (GGA-PBE) on a geometry-optimized Na2Cu2Cl5 structure.

a = 4.6480 Å, b = 7.2554 Å, c = 7.1474 Å
α = 115.54°, β = 108.97°, γ = 90.00°
Fractional positions:
Na1 0.6197 0.2846 0.2394
Na2 0.3803 0.7154 0.7606
Cu1 0.9026 0.2002 0.8052
Cu2 0.0974 0.7998 0.1948
Cl1 0.6205 0.8603 0.2410
Cl2 0.3795 0.1397 0.7590
Cl3 0.8508 0.4598 0.7017
Cl4 0.1492 0.5402 0.2983
Cl5 0.0000 0.0000 0.0000

Output
Space-group type = C2/m, No. 12

***

x.
VASP calculation (GGA-PBE) on a geometry-optimized Na2Cu2Cl5 structure.

a = 6.8762 Å, b = 6.7164 Å, c = 9.9599 Å
α = 109.70°, β = 110.19°, γ = 90.00°
Fractional positions:
Na1 0.1402 0.6337 0.2182
Na2 0.8598 0.4155 0.7818
Na3 0.5779 0.1337 0.2182
Na4 0.4221 0.9155 0.7818
Cu1 0.0000 0.9776 0.0000
Cu2 0.5000 0.4776 0.0000
Cu3 0.1733 0.3040 0.5000
Cu4 0.8267 0.8040 0.5000
Cl1 0.2342 0.7076 0.9568
Cl2 0.7658 0.7508 0.0432
Cl3 0.2226 0.2076 0.9568
Cl4 0.7774 0.2508 0.0432
Cl5 0.2251 0.0910 0.2857
Cl6 0.7749 0.8054 0.7143
Cl7 0.5606 0.5910 0.2857
Cl8 0.4394 0.3054 0.7143
Cl9 0.1358 0.6505 0.5000
Cl10 0.8642 0.1505 0.5000

Output
Space-group type = Ima2, No. 46

***

The winner here is x, beating the second structure by 11 meV/atom.

***

w.
VASP calculation (GGA-PBE) on a geometry-optimized Na2CuCl4 structure.

a = 4.8404 Å, b = 4.8404 Å, c = 7.7866 Å
α = 71.89°, β = 71.89°, γ = 90.00°
Fractional positions:
Na1 0.3645 0.3645 0.2710
Na2 0.6355 0.6355 0.7290
Cu1 0.0000 0.0000 0.0000
Cl1 0.1696 0.1696 0.6608
Cl2 0.8304 0.8304 0.3392
Cl3 0.0000 0.5000 0.0000
Cl4 0.5000 0.0000 0.0000

Output
Space-group type = I4/mmm, No. 139

***

x.
VASP calculation (GGA-PBE) on a geometry-optimized Na2CuCl4 structure.

a = 6.7869 Å, b = 6.8656 Å, c = 7.6646 Å
α = 90.00°, β = 106.60°, γ = 90.00°
Fractional positions:
Na1 0.7137 0.7500 0.0527
Na2 0.2863 0.2500 0.9473
Na3 0.2623 0.2500 0.4411
Na4 0.7377 0.7500 0.5589
Cu1 0.2485 0.7500 0.1905
Cu2 0.7515 0.2500 0.8095
Cl1 0.4848 0.5058 0.2501
Cl2 0.0454 0.7500 0.9003
Cl3 0.9546 0.2500 0.0997
Cl4 0.4848 0.9942 0.2501
Cl5 0.9615 0.2500 0.6285
Cl6 0.5152 0.0058 0.7499
Cl7 0.5152 0.4942 0.7499
Cl8 0.0385 0.7500 0.3715

Output
Space-group type = P2_1/m, No. 11

***

The winner here is x, beating the second structure by 18 meV/atom.

***

w.
VASP calculation (GGA-PBE) on a geometry-optimized Na2CuCl structure.

a = 5.0702 Å, b = 5.0702 Å, c = 5.0702 Å
α = 60.00°, β = 60.00°, γ = 60.00°
Fractional positions:
Na1 0.2500 0.2500 0.2500
Na2 0.7500 0.7500 0.7500
Cu1 0.5000 0.5000 0.5000
Cl1 0.0000 0.0000 0.0000

Output
Space-group type = Fm-3m, No. 225

***

x.
VASP calculation (GGA-PBE) on a geometry-optimized Na2CuCl structure.

a = 7.3419 Å, b = 7.3419 Å, c = 6.7029 Å
α = 56.79°, β = 56.79°, γ = 90.00°
Fractional positions:
Na1 0.5976 0.1250 0.2500
Na2 0.1524 0.6250 0.2500
Na3 0.3750 0.4024 0.7500
Na4 0.8750 0.8476 0.7500
Cu1 0.0000 0.0000 0.0000
Cu2 0.7500 0.2500 0.5000
Cl1 0.5000 0.5000 0.0000
Cl2 0.2500 0.7500 0.5000

Output
Space-group type = I-42d, No. 122

***

The winner here is x, beating the second structure by 52 meV/atom.

***

w.
VASP calculation (GGA-PBE) on a geometry-optimized NaCu3Cl structure.

a = 4.6749 Å, b = 4.6749 Å, c = 4.6749 Å
α = 90.00°, β = 90.00°, γ = 90.00°
Fractional positions:
Na1 0.5000 0.5000 0.5000
Cu1 0.0000 0.5000 0.0000
Cu2 0.0000 0.0000 0.5000
Cu3 0.5000 0.0000 0.0000
Cl1 0.0000 0.0000 0.0000

Output
Space-group type = Pm-3m, No. 221

***

x.
VASP calculation (GGA-PBE) on a geometry-optimized NaCu3Cl structure.

a = 4.8194 Å, b = 4.8194 Å, c = 4.8194 Å
α = 90.00°, β = 90.00°, γ = 90.00°
Fractional positions:
Na1 0.0000 0.0000 0.0000
Cu1 0.0000 0.5000 0.0000
Cu2 0.0000 0.0000 0.5000
Cu3 0.5000 0.0000 0.0000
Cl1 0.5000 0.5000 0.5000

Output
Space-group type = Pm-3m, No. 221

***

The winner here is w, beating the second structure by 454 meV/atom.

***

w.
VASP calculation (GGA-PBE) on a geometry-optimized NaCuS2Cl structure.

a = 4.9347 Å, b = 4.9347 Å, c = 5.0215 Å
α = 90.00°, β = 90.00°, γ = 90.00°
Fractional positions:
Na1 0.0000 0.0000 0.0000
S1 0.0000 0.5000 0.0000
S2 0.5000 0.0000 0.0000
Cu1 0.5000 0.5000 0.5000
Cl1 0.0000 0.0000 0.5000

Output
Space-group type = P4/mmm, No. 123

***

x.
VASP calculation (GGA-PBE) on a geometry-optimized NaCuS2Cl structure.

a = 4.3758 Å, b = 4.3758 Å, c = 6.0285 Å
α = 90.00°, β = 90.00°, γ = 90.00°
Fractional positions:
Na1 0.5000 0.5000 0.5000
S1 0.0000 0.5000 0.0000
S2 0.5000 0.0000 0.0000
Cu1 0.0000 0.0000 0.0000
Cl1 0.0000 0.0000 0.5000

Output
Space-group type = P4/mmm, No. 123

***

The winner here is x, beating the second structure by 1017 meV/atom.

***

w.
VASP calculation (GGA-PBE) on a geometry-optimized Na2SmCuCl6 structure.

a = 6.9477 Å, b = 6.5493 Å, c = 12.1996 Å
α = 90.00°, β = 90.33°, γ = 90.00°
Fractional positions:
Na1 0.0048 0.9955 0.2023
Na2 0.5048 0.5045 0.7023
Na3 0.9952 0.0045 0.7977
Na4 0.4952 0.4955 0.2977
Sm1 0.5000 0.0000 0.0000
Sm2 0.0000 0.5000 0.5000
Cu1 0.5000 0.0000 0.5000
Cu2 0.0000 0.5000 0.0000
Cl1 0.3220 0.7534 0.1456
Cl2 0.8220 0.7466 0.6456
Cl3 0.6780 0.2466 0.8544
Cl4 0.1780 0.2534 0.3544
Cl5 0.3379 0.7218 0.4932
Cl6 0.8379 0.7782 0.9932
Cl7 0.6621 0.2782 0.5068
Cl8 0.1621 0.2218 0.0068
Cl9 0.8310 0.7147 0.3380
Cl10 0.3310 0.7853 0.8380
Cl11 0.1690 0.2853 0.6620
Cl12 0.6690 0.2147 0.1620

Output
Space-group type = P2_1/c, No. 14

***

x.
VASP calculation (GGA-PBE) on a geometry-optimized Na2SmCuCl6 structure.

a = 7.3233 Å, b = 7.3233 Å, c = 7.3233 Å
α = 60.00°, β = 60.00°, γ = 60.00°
Fractional positions:
Na1 0.7500 0.7500 0.7500
Na2 0.2500 0.2500 0.2500
Sm1 0.0000 0.0000 0.0000
Cu1 0.5000 0.5000 0.5000
Cl1 0.2582 0.7418 0.2582
Cl2 0.7418 0.2582 0.2582
Cl3 0.7418 0.2582 0.7418
Cl4 0.2582 0.2582 0.7418
Cl5 0.7418 0.7418 0.2582
Cl6 0.2582 0.7418 0.7418

Output
Space-group type = Fm-3m, No. 225

***

The winner here is w, beating the second structure by 147 meV/atom.

***

w.
VASP calculation (GGA-PBE) on a geometry-optimized Na2TbCuCl6 structure.

a = 7.2571 Å, b = 7.2571 Å, c = 7.2571 Å
α = 60.00°, β = 60.00°, γ = 60.00°
Fractional positions:
Na1 0.7500 0.7500 0.7500
Na2 0.2500 0.2500 0.2500
Tb1 0.0000 0.0000 0.0000
Cu1 0.5000 0.5000 0.5000
Cl1 0.2560 0.7440 0.2560
Cl2 0.7440 0.2560 0.2560
Cl3 0.7440 0.2560 0.7440
Cl4 0.2560 0.2560 0.7440
Cl5 0.7440 0.7440 0.2560
Cl6 0.2560 0.7440 0.7440

Output
Space-group type = Fm-3m, No. 225

***

x.
VASP calculation (GGA-PBE) on a geometry-optimized Na2TbCuCl6 structure.

a = 6.8721 Å, b = 6.5258 Å, c = 12.1381 Å
α = 90.00°, β = 90.28°, γ = 90.00°
Fractional positions:
Na1 0.0050 0.9958 0.2022
Na2 0.5050 0.5042 0.7022
Na3 0.9950 0.0042 0.7978
Na4 0.4950 0.4958 0.2978
Tb1 0.5000 0.0000 0.0000
Tb2 0.0000 0.5000 0.5000
Cu1 0.5000 0.0000 0.5000
Cu2 0.0000 0.5000 0.0000
Cl1 0.3252 0.7556 0.1436
Cl2 0.8252 0.7444 0.6436
Cl3 0.6748 0.2444 0.8564
Cl4 0.1748 0.2556 0.3564
Cl5 0.3341 0.7216 0.4938
Cl6 0.8341 0.7784 0.9938
Cl7 0.6659 0.2784 0.5062
Cl8 0.1659 0.2216 0.0062
Cl9 0.8351 0.7118 0.3396
Cl10 0.3351 0.7882 0.8396
Cl11 0.1649 0.2882 0.6604
Cl12 0.6649 0.2118 0.1604

Output
Space-group type = P2_1/c, No. 14

***

The winner here is x, beating the second structure by 137 meV/atom.

***

w.
VASP calculation (GGA-PBE) on a geometry-optimized NbCuP2Cl structure.

a = 4.4078 Å, b = 4.4078 Å, c = 4.7247 Å
α = 90.00°, β = 90.00°, γ = 90.00°
Fractional positions:
P1 0.0000 0.5000 0.0000
P2 0.5000 0.0000 0.0000
Nb1 0.5000 0.5000 0.5000
Cu1 0.0000 0.0000 0.0000
Cl1 0.0000 0.0000 0.5000

Output
Space-group type = P4/mmm, No. 123

***

x.
VASP calculation (GGA-PBE) on a geometry-optimized NbCuP2Cl structure.

a = 4.8500 Å, b = 4.8500 Å, c = 4.8442 Å
α = 90.00°, β = 90.00°, γ = 90.00°
Fractional positions:
P1 0.0000 0.5000 0.0000
P2 0.5000 0.0000 0.0000
Nb1 0.0000 0.0000 0.0000
Cu1 0.5000 0.5000 0.5000
Cl1 0.0000 0.0000 0.5000

Output
Space-group type = P4/mmm, No. 123

***

The winner here is x, beating the second structure by 340 meV/atom.

***

w.
VASP calculation (GGA-PBE) on a geometry-optimized NbCuSCl2 structure.

a = 4.5435 Å, b = 4.5435 Å, c = 4.7931 Å
α = 90.00°, β = 90.00°, γ = 90.00°
Fractional positions:
Nb1 0.5000 0.5000 0.5000
S1 0.0000 0.0000 0.5000
Cu1 0.0000 0.0000 0.0000
Cl1 0.0000 0.5000 0.0000
Cl2 0.5000 0.0000 0.0000

Output
Space-group type = P4/mmm, No. 123

***

x.
VASP calculation (GGA-PBE) on a geometry-optimized NbCuSCl2 structure.

a = 5.3982 Å, b = 4.0725 Å, c = 5.3982 Å
α = 90.00°, β = 90.00°, γ = 90.00°
Fractional positions:
Nb1 0.5000 0.5000 0.5000
S1 0.0000 0.0000 0.0000
Cu1 0.0000 0.5000 0.0000
Cl1 0.0000 0.0000 0.5000
Cl2 0.5000 0.0000 0.0000

Output
Space-group type = P4/mmm, No. 123

***

y.
VASP calculation (GGA-PBE) on a geometry-optimized NbCuSCl2 structure.

a = 4.8840 Å, b = 4.8840 Å, c = 4.8116 Å
α = 90.00°, β = 90.00°, γ = 90.00°
Fractional positions:
Nb1 0.0000 0.0000 0.0000
S1 0.0000 0.0000 0.5000
Cu1 0.5000 0.5000 0.5000
Cl1 0.0000 0.5000 0.0000
Cl2 0.5000 0.0000 0.0000

Output
Space-group type = P4/mmm, No. 123

***

The winner here is y, beating the second structure by 451 meV/atom.

***

w.
VASP calculation (GGA-PBE) on a geometry-optimized Cu2NiCl structure.

a = 5.6838 Å, b = 4.5368 Å, c = 2.8822 Å
α = 89.94°, β = 59.63°, γ = 117.76°
Fractional positions:
Cl1 0.5000 0.5000 0.0000
Cu1 0.0000 0.0000 0.0000
Cu2 0.5000 0.0000 0.5000
Ni1 0.0000 0.5000 0.5000

Output
Space-group type = Cmmm, No. 65

***

x.
VASP calculation (GGA-PBE) on a geometry-optimized Cu2NiCl structure.

a = 6.8566 Å, b = 6.8566 Å, c = 5.4253 Å
α = 50.81°, β = 50.81°, γ = 90.00°
Fractional positions:
Ni1 0.0000 0.0000 0.0000
Ni2 0.7500 0.2500 0.5000
Cu1 0.6212 0.1250 0.2500
Cu2 0.1288 0.6250 0.2500
Cu3 0.3750 0.3788 0.7500
Cu4 0.8750 0.8712 0.7500
Cl1 0.5000 0.5000 0.0000
Cl2 0.2500 0.7500 0.5000

Output
Space-group type = I-42d, No. 122

***

The winner here is w, beating the second structure by 60 meV/atom.

***

w.
VASP calculation (GGA-PBE) on a geometry-optimized Cu2NiCl structure.

a = 4.2425 Å, b = 4.2425 Å, c = 4.2425 Å
α = 60.00°, β = 60.00°, γ = 60.00°
Fractional positions:
Cl1 0.5000 0.5000 0.5000
Cu1 0.0000 0.0000 0.0000
Cu2 0.2500 0.2500 0.2500
Ni1 0.7500 0.7500 0.7500

Output
Space-group type = F-43m, No. 216

***

x.
VASP calculation (GGA-PBE) on a geometry-optimized Cu2NiCl structure.

a = 2.9551 Å, b = 3.1987 Å, c = 6.2747 Å
α = 90.15°, β = 90.00°, γ = 90.00°
Fractional positions:
Cl1 0.5000 0.7480 0.7368
Cu1 0.0000 0.7496 0.0544
Cu2 0.5000 0.2505 0.2576
Ni1 0.0000 0.7519 0.4512

Output
Space-group type = Pm, No. 6

***

y.
VASP calculation (GGA-PBE) on a geometry-optimized Cu2NiCl structure.

a = 4.2692 Å, b = 4.2692 Å, c = 4.2692 Å
α = 60.00°, β = 60.00°, γ = 60.00°
Fractional positions:
Ni1 0.5000 0.5000 0.5000
Cu1 0.2500 0.2500 0.2500
Cu2 0.7500 0.7500 0.7500
Cl1 0.0000 0.0000 0.0000

Output
Space-group type = Fm-3m, No. 225

***

z.
VASP calculation (GGA-PBE) on a geometry-optimized Cu2NiCl structure.

a = 6.0723 Å, b = 6.0723 Å, c = 6.0723 Å
α = 153.32°, β = 144.52°, γ = 44.94°
Fractional positions:
Cl1 0.2500 0.7500 0.5000
Cu1 0.9546 0.9546 0.0000
Cu2 0.5454 0.5454 0.0000
Ni1 0.7500 0.2500 0.5000

Output
Space-group type = Immm, No. 71

***

The winner here is x, beating the second structure by 243 meV/atom.